Material: NbSn2HIr
Method: DFT, PBEsol
State: optimized geometry

## Properties
D(E_F) (states/eV/cell): 3.1
E (eV per atom): -6.475
Magnetic moment (μB/cell): 0.00

a = 4.7133 Å, b = 4.7133 Å, c = 3.4432 Å
α = 90.00°, β = 90.00°, γ = 90.00°
Sites, in units of the cell vectors:
Nb (0.0000, 0.0000, 0.0000)
Sn (0.0000, 0.5000, 0.5000)
Sn (0.5000, 0.0000, 0.5000)
H (0.5000, 0.5000, 0.5000)
Ir (0.5000, 0.5000, 0.0000)